GGA+U CoAgClF2, optimized geometry; magnetization = 2.99 μB/f.u.; density = 4.87 g/cm3; excess energy over the best structure of this formula in the dataset = 0.000 eV per atom; space group = P4/mmm
1.0
3.949 0.000 0.000
0.000 3.949 0.000
0.000 0.000 5.253
F Co Ag Cl
2 1 1 1
Direct
0.000 0.500 0.000
0.500 0.000 0.000
0.000 0.000 0.000
0.500 0.500 0.500
0.000 0.000 0.500